Material: BaSO2
Method: DFT, PBE
State: optimized geometry

Raw formation energy (eV per atom): -1.82

Cell lengths 11.0084, 4.4948, 6.8936 Å; angles 90.00, 90.00, 90.00 degrees
Closest atoms and distances in Å follow each position.
Space group Pnma (No. 62)
Unique sites:
Ba 0.1372 0.2500 0.1947 [4 per cell]  6 O 2.72-2.89
S 0.1100 0.2500 0.6826 [4 per cell]  2 O 1.61-1.62
O 0.0000 0.2500 0.8365 [4 per cell]  1 S 1.61
O 0.2320 0.2500 0.8152 [4 per cell]  1 S 1.62